! LaPa2As3 (PBE, relaxed); values from VASP
&SYSTEM
  ibrav = 0, nat = 6, ntyp = 3
/
ATOMIC_SPECIES
La 138.91 La.upf
Pa 231.04 Pa.upf
As 74.92 As.upf
ATOMIC_POSITIONS crystal
La 0.4341 0.4359 0.8740
Pa 0.1005 0.1018 0.2064
Pa 0.7681 0.7694 0.5416
As 0.9341 0.9359 0.8739
As 0.2644 0.2657 0.5342
As 0.6042 0.6054 0.2137
CELL_PARAMETERS angstrom
4.0715 -0.0004 -0.9277
-0.2111 4.0659 -0.9282
-0.0165 -0.0162 9.3259
! - Calculated formation energy: -1178 meV per atom

***

! LaPa4As5 (PBE, relaxed); values from VASP
&SYSTEM
  ibrav = 0, nat = 10, ntyp = 3
/
ATOMIC_SPECIES
La 138.91 La.upf
Pa 231.04 Pa.upf
As 74.92 As.upf
ATOMIC_POSITIONS crystal
La 0.0000 0.0000 0.0000
Pa 0.5965 0.2052 0.6018
Pa 0.2016 0.3906 0.2063
Pa 0.7984 0.6094 0.7937
Pa 0.4035 0.7948 0.3982
As 0.2021 0.9047 0.6912
As 0.7979 0.0953 0.3088
As 0.3915 0.3200 0.8970
As 0.0000 0.5000 0.5000
As 0.6085 0.6800 0.1030
CELL_PARAMETERS angstrom
-2.7777 3.0177 -0.5152
-6.2486 -3.1790 -1.5152
-4.6318 -0.0619 8.0259
! - Calculated formation energy: -1144 meV per atom

***

! La3PaAs4 (PBE, relaxed); values from VASP
&SYSTEM
  ibrav = 0, nat = 8, ntyp = 3
/
ATOMIC_SPECIES
La 138.91 La.upf
Pa 231.04 Pa.upf
As 74.92 As.upf
ATOMIC_POSITIONS crystal
La 0.0000 0.0000 0.5000
La 0.5000 0.5000 0.5000
La 0.0000 0.5000 0.0000
Pa 0.5000 0.0000 0.0000
As 0.0000 0.2344 0.2344
As 0.5000 0.7600 0.2400
As 0.0000 0.7656 0.7656
As 0.5000 0.2400 0.7600
CELL_PARAMETERS angstrom
-1.5976 2.8763 2.7504
4.6638 -2.4358 5.2562
3.2542 5.4769 -3.8373
! - Energy relative to the lowest polymorph listed for this composition: 0 meV/atom
! - Calculated formation energy: -1438 meV per atom

***

! La5PaAs6 (PBE, relaxed); values from VASP
&SYSTEM
  ibrav = 0, nat = 12, ntyp = 3
/
ATOMIC_SPECIES
As 74.92 As.upf
Pa 231.04 Pa.upf
La 138.91 La.upf
ATOMIC_POSITIONS crystal
As 0.3980 0.0800 0.2406
As 0.9200 0.6020 0.7594
As 0.2365 0.2365 0.7587
As 0.7635 0.7635 0.2413
As 0.0800 0.3980 0.2406
As 0.6020 0.9200 0.7594
Pa 0.0000 0.0000 0.0000
La 0.8304 0.1696 0.5000
La 0.6659 0.3341 0.0000
La 0.5000 0.5000 0.5000
La 0.3341 0.6659 0.0000
La 0.1696 0.8304 0.5000
CELL_PARAMETERS angstrom
-4.6180 0.0431 5.8848
3.0321 -6.4311 -2.3251
6.0169 3.1616 3.1135
! - Calculated formation energy: -1497 meV per atom

***

! LaPa3As4 (PBE, relaxed); values from VASP
&SYSTEM
  ibrav = 0, nat = 8, ntyp = 3
/
ATOMIC_SPECIES
As 74.92 As.upf
Pa 231.04 Pa.upf
La 138.91 La.upf
ATOMIC_POSITIONS crystal
As 0.0000 0.7612 0.7389
As 0.5000 0.7548 0.2547
As 0.0000 0.2391 0.2610
As 0.4999 0.2454 0.7453
Pa 0.5000 0.0001 0.5000
Pa 0.9999 0.0001 0.0000
Pa 0.0000 0.5001 0.5000
La 0.5000 0.5001 0.0000
CELL_PARAMETERS angstrom
4.1458 -0.0513 0.0708
0.0511 6.9106 2.0136
-0.1178 0.3972 7.1863
! - Calculated formation energy: -1160 meV per atom

***

! La3Pm2PaAs6 (PBE, relaxed); values from VASP
&SYSTEM
  ibrav = 0, nat = 12, ntyp = 4
/
ATOMIC_SPECIES
La 138.91 La.upf
Pm 145.00 Pm.upf
Pa 231.04 Pa.upf
As 74.92 As.upf
ATOMIC_POSITIONS crystal
La 0.1692 0.8308 0.5000
La 0.8308 0.1692 0.5000
La 0.5000 0.5000 0.5000
Pm 0.3341 0.6659 0.0000
Pm 0.6659 0.3341 0.0000
Pa 0.0000 0.0000 0.0000
As 0.9213 0.5985 0.7630
As 0.7574 0.7574 0.2378
As 0.0787 0.4015 0.2370
As 0.5985 0.9213 0.7630
As 0.2426 0.2426 0.7622
As 0.4015 0.0787 0.2370
CELL_PARAMETERS angstrom
7.3891 -0.0003 0.0012
-3.6930 6.4001 0.0012
-1.2316 -2.1326 7.0024
! - Calculated formation energy: -1488 meV per atom